Entry 1:
First-principles (meta-GGA SCAN) data for a PBEsol-optimized structure of BaTeAs2, as listed in the Alexandria database.

Cell lengths 4.073, 5.432, 6.591 Å; angles 107.80, 108.00, 90.00 degrees
Sites, in units of the cell vectors:
As 0.272 0.155 0.543
As 0.728 0.845 0.457
Ba 0.000 0.000 0.000
Te 0.500 0.500 0.000

Computed properties:
formation energy from raw total energies = -688 meV per atom


Entry 2:
First-principles (meta-GGA SCAN) data for a PBEsol-optimized structure of BaTeAs2, as listed in the Alexandria database.

Cell lengths 3.862, 5.650, 6.029 Å; angles 117.94, 108.68, 90.00 degrees
Sites, in units of the cell vectors:
As 0.031 0.031 0.062
As 0.700 0.200 0.401
Te 0.283 0.783 0.565
Ba 0.486 0.486 0.973

Computed properties:
formation energy from raw total energies = -582 meV per atom


Entry 3:
First-principles (meta-GGA SCAN) data for a PBEsol-optimized structure of BaTeAs2, as listed in the Alexandria database.

Cell lengths 4.109, 5.175, 6.112 Å; angles 109.88, 90.00, 90.00 degrees
Sites, in units of the cell vectors:
As 0.000 0.984 0.054
As 0.500 0.833 0.233
Ba 0.000 0.548 0.510
Te 0.500 0.134 0.702

Computed properties:
formation energy from raw total energies = -705 meV per atom


Entry 4:
First-principles (meta-GGA SCAN) data for a PBEsol-optimized structure of BaTeAs3, as listed in the Alexandria database.

Cell lengths 5.599, 5.599, 5.599 Å; angles 90.00, 90.00, 90.00 degrees
Sites, in units of the cell vectors:
As 0.000 0.500 0.000
As 0.500 0.000 0.000
As 0.000 0.000 0.500
Ba 0.000 0.000 0.000
Te 0.500 0.500 0.500

Computed properties:
formation energy from raw total energies = 1394 meV per atom


Entry 5:
First-principles (meta-GGA SCAN) data for a PBEsol-optimized structure of BaTlAs, as listed in the Alexandria database.

Cell lengths 4.594, 4.594, 5.326 Å; angles 90.00, 90.00, 120.00 degrees
Sites, in units of the cell vectors:
Ba 0.333 0.667 0.697
Tl 0.667 0.333 0.267
As 0.000 0.000 0.036

Computed properties:
distance to the lowest polymorph of the same formula = 0.000 eV per atom
calculated formation energy = -0.8190 eV per atom


Entry 6:
First-principles (meta-GGA SCAN) data for a PBEsol-optimized structure of BaTl2As, as listed in the Alexandria database.

Cell lengths 4.509, 4.509, 6.038 Å; angles 90.00, 90.00, 90.00 degrees
Sites, in units of the cell vectors:
As 0.000 0.000 0.502
Tl 0.000 0.500 0.159
Tl 0.500 0.000 0.159
Ba 0.500 0.500 0.679

Computed properties:
calculated formation energy = -0.6066 eV per atom


Number 1: magnetic moment 0.000 μB per formula unit, calculated density 5.24 g/cm³. Number 2: magnetic moment 0.000 μB per formula unit, calculated density 6.36 g/cm³. Number 3: magnetic moment 0.000 μB per formula unit, calculated density 5.64 g/cm³. Number 4: magnetic moment 0.000 μB per formula unit, calculated density 4.63 g/cm³. Number 5: magnetic moment 0.000 μB per formula unit, calculated density 7.11 g/cm³. Number 6: magnetic moment 0.000 μB per formula unit, calculated density 8.40 g/cm³.